(1)
DFT (PBE-GGA) results for a geometry-optimized K3Pb8Au3 structure.

The calculation puts the formation enthalpy at 0 K at -0.15 eV per atom. Its raw total energy is -3.202 eV/atom. The energy relative to the lowest polymorph listed for this composition is 0 meV per atom. The crystal system is monoclinic.

Cell: 5.241 9.647 9.640 Å, 68.37 74.23 74.24°
Positions (direct):
Pb (0.847, 0.865, 0.442)
Pb (0.850, 0.439, 0.861)
Pb (0.355, 0.035, 0.254)
Pb (0.153, 0.135, 0.558)
Pb (0.645, 0.965, 0.746)
Pb (0.150, 0.561, 0.139)
Pb (0.499, 0.667, 0.335)
Pb (0.501, 0.333, 0.665)
K (0.713, 0.294, 0.280)
K (0.287, 0.706, 0.720)
K (0.000, 0.000, 0.000)
Au (0.345, 0.315, 0.994)
Au (0.000, 0.500, 0.500)
Au (0.655, 0.685, 0.006)

***

(2)
DFT (PBE-GGA) results for a geometry-optimized KPb4Au4 structure.

The calculation puts the formation enthalpy at 0 K at -0.15 eV per atom. Its raw total energy is -3.374 eV/atom. The crystal system is tetragonal.

Cell: 5.868 9.730 9.730 Å, 90.00 90.00 90.00°
Positions (direct):
Au (0.096, 0.165, 0.322)
Au (0.904, 0.678, 0.165)
Au (0.404, 0.665, 0.822)
Au (0.596, 0.822, 0.335)
Au (0.904, 0.322, 0.835)
Au (0.596, 0.178, 0.665)
Au (0.404, 0.335, 0.178)
Au (0.096, 0.835, 0.678)
Pb (0.605, 0.123, 0.365)
Pb (0.105, 0.135, 0.623)
Pb (0.605, 0.877, 0.635)
Pb (0.105, 0.865, 0.377)
Pb (0.895, 0.377, 0.135)
Pb (0.395, 0.365, 0.877)
Pb (0.895, 0.623, 0.865)
Pb (0.395, 0.635, 0.123)
K (0.000, 0.000, 0.000)
K (0.500, 0.500, 0.500)

***

(3)
DFT (PBE-GGA) results for a geometry-optimized KPb2Au2 structure.

The calculation puts the formation enthalpy at 0 K at -0.18 eV per atom. Its raw total energy is -3.190 eV/atom. The energy relative to the lowest polymorph listed for this composition is 39 meV per atom. The crystal system is tetragonal.

Cell: 4.984 4.984 6.921 Å, 68.90 68.90 90.00°
Positions (direct):
Au (0.616, 0.616, 0.768)
Au (0.384, 0.384, 0.232)
K (0.000, 0.000, 0.000)
Pb (0.250, 0.750, 0.500)
Pb (0.750, 0.250, 0.500)

***

(4)
DFT (PBE-GGA) results for a geometry-optimized KPb12Au7 structure.

The calculation puts the formation enthalpy at 0 K at -0.06 eV per atom. Its raw total energy is -3.483 eV/atom. The crystal system is trigonal.

Cell: 8.471 9.064 9.064 Å, 69.24 71.85 108.15°
Positions (direct):
Pb (0.613, 0.736, 0.828)
Pb (0.559, 0.172, 0.564)
Pb (0.819, 0.553, 0.090)
Pb (0.266, 0.357, 0.553)
Pb (0.909, 0.090, 0.357)
Pb (0.123, 0.564, 0.264)
Pb (0.091, 0.910, 0.643)
Pb (0.181, 0.447, 0.910)
Pb (0.441, 0.828, 0.436)
Pb (0.877, 0.436, 0.736)
Pb (0.734, 0.643, 0.447)
Pb (0.387, 0.264, 0.172)
Au (0.279, 0.809, 0.871)
Au (0.530, 0.680, 0.191)
Au (0.500, 0.000, 0.000)
Au (0.149, 0.871, 0.320)
Au (0.470, 0.320, 0.809)
Au (0.721, 0.191, 0.129)
Au (0.851, 0.129, 0.680)
K (0.000, 0.000, 0.000)

***

(5)
DFT (PBE-GGA) results for a geometry-optimized KPb4Au4 structure.

The calculation puts the formation enthalpy at 0 K at -0.15 eV per atom. Its raw total energy is -3.373 eV/atom. The crystal system is tetragonal.

Cell: 7.338 7.338 9.721 Å, 90.00 90.00 90.00°
Positions (direct):
Pb (0.000, 0.250, 0.361)
Pb (0.250, 0.000, 0.639)
Pb (0.500, 0.250, 0.139)
Pb (0.250, 0.500, 0.861)
Pb (0.750, 0.000, 0.639)
Pb (0.500, 0.750, 0.139)
Pb (0.750, 0.500, 0.861)
Pb (0.000, 0.750, 0.361)
Au (0.000, 0.691, 0.657)
Au (0.809, 0.500, 0.157)
Au (0.691, 0.000, 0.343)
Au (0.500, 0.809, 0.843)
Au (0.000, 0.309, 0.657)
Au (0.500, 0.191, 0.843)
Au (0.191, 0.500, 0.157)
Au (0.309, 0.000, 0.343)
K (0.000, 0.000, 0.000)
K (0.500, 0.500, 0.500)

***

(6)
DFT (PBE-GGA) results for a geometry-optimized K2PbAu2 structure.

The calculation puts the formation enthalpy at 0 K at 0.09 eV per atom. Its raw total energy is -2.404 eV/atom. The energy relative to the lowest polymorph listed for this composition is 386 meV per atom. The crystal system is tetragonal.

Cell: 4.655 4.655 7.931 Å, 72.93 72.93 90.00°
Positions (direct):
K (0.750, 0.250, 0.500)
K (0.250, 0.750, 0.500)
Au (0.594, 0.594, 0.813)
Au (0.406, 0.406, 0.187)
Pb (0.000, 0.000, 0.000)

***

(7)
DFT (PBE-GGA) results for a geometry-optimized KPb2Au2 structure.

The calculation puts the formation enthalpy at 0 K at -0.12 eV per atom. Its raw total energy is -3.139 eV/atom. The energy relative to the lowest polymorph listed for this composition is 90 meV per atom. The crystal system is tetragonal.

Cell: 8.871 8.871 3.458 Å, 90.00 90.00 90.00°
Positions (direct):
K (0.500, 0.500, 0.000)
K (0.000, 0.000, 0.000)
Pb (0.645, 0.855, 0.500)
Pb (0.855, 0.355, 0.500)
Pb (0.355, 0.145, 0.500)
Pb (0.145, 0.645, 0.500)
Au (0.853, 0.647, 0.000)
Au (0.647, 0.147, 0.000)
Au (0.147, 0.353, 0.000)
Au (0.353, 0.853, 0.000)

***

(8)
DFT (PBE-GGA) results for a geometry-optimized K4PbAu structure.

The calculation puts the formation enthalpy at 0 K at -0.19 eV per atom. Its raw total energy is -2.088 eV/atom. The energy relative to the lowest polymorph listed for this composition is 0 meV per atom. The crystal system is cubic.

Cell: 11.439 11.439 11.439 Å, 60.00 60.00 60.00°
Positions (direct):
Pb (0.179, 0.179, 0.179)
Pb (0.179, 0.179, 0.462)
Pb (0.462, 0.179, 0.179)
Pb (0.179, 0.462, 0.179)
K (0.552, 0.948, 0.948)
K (0.398, 0.805, 0.398)
K (0.196, 0.804, 0.804)
K (0.948, 0.552, 0.948)
K (0.398, 0.398, 0.805)
K (0.805, 0.398, 0.398)
K (0.196, 0.196, 0.804)
K (0.948, 0.552, 0.552)
K (0.804, 0.196, 0.804)
K (0.196, 0.804, 0.196)
K (0.948, 0.948, 0.552)
K (0.804, 0.196, 0.196)
K (0.398, 0.398, 0.398)
K (0.552, 0.552, 0.948)
K (0.804, 0.804, 0.196)
K (0.552, 0.948, 0.552)
Au (0.608, 0.608, 0.608)
Au (0.608, 0.176, 0.608)
Au (0.176, 0.608, 0.608)
Au (0.608, 0.608, 0.176)

***

(9)
DFT (PBE-GGA) results for a geometry-optimized K3Pb4Au2 structure.

The calculation puts the formation enthalpy at 0 K at -0.22 eV per atom. Its raw total energy is -2.963 eV/atom. The energy relative to the lowest polymorph listed for this composition is 0 meV per atom. The crystal system is monoclinic.

Cell: 4.995 6.699 10.025 Å, 109.52 90.00 111.89°
Positions (direct):
K (0.691, 0.382, 0.625)
K (0.309, 0.618, 0.375)
K (0.000, 0.000, 0.000)
Au (0.587, 0.174, 0.261)
Au (0.413, 0.826, 0.739)
Pb (0.744, 0.487, 0.096)
Pb (0.256, 0.513, 0.904)
Pb (0.006, 0.012, 0.342)
Pb (0.994, 0.988, 0.658)

***

(10)
DFT (PBE-GGA) results for a geometry-optimized KPbAu2 structure.

The calculation puts the formation enthalpy at 0 K at 0.04 eV per atom. Its raw total energy is -2.802 eV/atom. The crystal system is cubic.

Cell: 5.183 5.183 5.183 Å, 60.00 60.00 60.00°
Positions (direct):
Au (0.250, 0.250, 0.250)
Au (0.000, 0.000, 0.000)
Pb (0.750, 0.750, 0.750)
K (0.500, 0.500, 0.500)

***

(11)
DFT (PBE-GGA) results for a geometry-optimized KPbAu3 structure.

The calculation puts the formation enthalpy at 0 K at 0.85 eV per atom. Its raw total energy is -2.081 eV/atom. The energy relative to the lowest polymorph listed for this composition is 821 meV per atom. The crystal system is cubic.

Cell: 5.528 5.528 5.528 Å, 90.00 90.00 90.00°
Positions (direct):
Pb (0.500, 0.500, 0.500)
K (0.000, 0.000, 0.000)
Au (0.500, 0.000, 0.000)
Au (0.000, 0.500, 0.000)
Au (0.000, 0.000, 0.500)

***

(12)
DFT (PBE-GGA) results for a geometry-optimized K4PbAu structure.

The calculation puts the formation enthalpy at 0 K at 0.28 eV per atom. Its raw total energy is -1.617 eV/atom. The energy relative to the lowest polymorph listed for this composition is 471 meV per atom. The crystal system is cubic.

Cell: 6.916 6.916 6.916 Å, 60.00 60.00 60.00°
Positions (direct):
K (0.374, 0.877, 0.374)
K (0.374, 0.374, 0.374)
K (0.374, 0.374, 0.877)
K (0.877, 0.374, 0.374)
Au (0.000, 0.000, 0.000)
Pb (0.750, 0.750, 0.750)